{
  "formula": "YAlPb",
  "functional": "PBE",
  "state": "relaxed",
  "delta_e_f_ev_per_atom": -0.17,
  "lattice_angstrom": [[-1.820, 1.820, 5.751], [1.820, -1.820, 5.751], [1.820, 1.820, -5.751]],
  "species": ["Y", "Al", "Pb"],
  "fractional_positions": [[0.000, 0.000, 0.000], [0.342, 0.342, 0.000], [0.699, 0.699, 0.000]]
}

---

{
  "formula": "Y2AlPb",
  "functional": "PBE",
  "state": "relaxed",
  "delta_e_f_ev_per_atom": 0.33,
  "lattice_angstrom": [[-1.699, 2.922, 6.222], [1.699, -2.922, 6.222], [1.699, 2.922, -6.222]],
  "species": ["Y", "Y", "Al", "Pb"],
  "fractional_positions": [[0.244, 0.244, 0.000], [0.756, 0.756, 0.000], [0.000, 0.000, 0.000], [0.500, 0.500, 0.000]]
}

---

no.,calculated volume (Å³/f.u.),total magnetic moment (Bohr magnetons per cell)
1,76.2,0.0
2,123.5,0.0